! Sm5Bi2Pd | Alexandria via LeMat-Bulk | PBE | optimized geometry; values from VASP
! - Formation energy: -0.24 eV per atom
! - Space-group type: Cmcm (63)
! - Spin magnetization: 2.0 μB/cell
&SYSTEM
  ibrav = 0, nat = 16, ntyp = 3
/
ATOMIC_SPECIES
Sm 150.36 Sm.upf
Bi 208.98 Bi.upf
Pd 106.42 Pd.upf
ATOMIC_POSITIONS angstrom
Sm 0.551 -4.538 1.414
Bi -7.540 -3.171 2.639
Sm -7.200 -8.310 1.184
Pd -9.482 -6.608 1.086
Sm -1.222 -1.451 0.744
Sm -12.548 -5.834 1.463
Sm -8.886 -5.844 3.821
Bi -4.457 -7.201 0.238
Sm -10.775 -8.920 2.134
Pd -2.514 -3.763 1.792
Sm -7.031 -4.892 -0.003
Bi -11.388 -3.827 3.662
Sm -3.111 -4.528 -0.943
Sm -4.797 -2.061 1.694
Bi -0.608 -6.544 -0.785
Sm -4.966 -5.479 2.881
CELL_PARAMETERS angstrom
-1.122 -1.816 -5.388
2.339 -6.301 4.753
-13.213 -2.255 3.513

***

! SmBiPd14 | Alexandria via LeMat-Bulk | PBE | optimized geometry; values from VASP
! - Formation energy: -0.24 eV per atom
! - Space-group type: P4/mmm (123)
! - Spin magnetization: 0.0 μB/cell
&SYSTEM
  ibrav = 0, nat = 16, ntyp = 3
/
ATOMIC_SPECIES
Bi 208.98 Bi.upf
Pd 106.42 Pd.upf
Sm 150.36 Sm.upf
ATOMIC_POSITIONS angstrom
Bi 5.067 5.045 3.987
Pd 2.178 5.051 0.000
Pd 0.719 0.716 1.914
Pd 3.618 0.710 1.913
Pd 3.618 0.710 6.061
Pd 0.725 3.614 6.061
Pd 2.178 5.051 3.987
Pd 5.060 2.156 3.987
Pd 3.623 3.608 6.061
Pd 0.725 3.614 1.913
Pd 2.171 2.162 0.000
Pd 3.623 3.608 1.914
Pd 0.719 0.716 6.061
Pd 5.060 2.156 0.000
Pd 5.067 5.045 0.000
Sm 2.171 2.162 3.987
CELL_PARAMETERS angstrom
5.778 -0.012 0.000
0.012 5.778 0.000
0.000 0.000 7.975

***

! Sm12BiPd6 | Alexandria via LeMat-Bulk | PBE | optimized geometry; values from VASP
! - Formation energy: -0.60 eV per atom
! - Space-group type: Im-3 (204)
! - Spin magnetization: 0.0 μB/cell
&SYSTEM
  ibrav = 0, nat = 19, ntyp = 3
/
ATOMIC_SPECIES
Sm 150.36 Sm.upf
Bi 208.98 Bi.upf
Pd 106.42 Pd.upf
ATOMIC_POSITIONS angstrom
Sm 3.892 5.057 0.078
Bi 0.000 0.000 0.000
Sm -1.371 5.057 5.225
Sm 2.035 0.842 5.990
Sm 6.614 1.342 3.034
Sm 5.551 2.184 -2.269
Sm 0.884 5.899 2.269
Pd -1.530 4.591 2.164
Pd 3.621 0.970 3.748
Pd 0.560 6.271 -0.792
Pd 3.211 3.621 -2.164
Pd 5.711 2.650 0.792
Sm -2.434 5.899 -0.078
Sm 0.288 2.184 2.879
Sm 3.296 1.342 0.688
Sm 3.695 3.716 3.644
Sm 2.145 6.399 -3.034
Pd 0.970 3.621 5.120
Sm 0.486 3.526 -0.688
CELL_PARAMETERS angstrom
8.361 0.000 -2.956
-4.181 7.241 -2.956
0.000 0.000 8.869

***

! Sm8Bi2Pd | Alexandria via LeMat-Bulk | PBE | optimized geometry; values from VASP
! - Formation energy: -0.40 eV per atom
! - Space-group type: C2/m (12)
! - Spin magnetization: 0.0 μB/cell
&SYSTEM
  ibrav = 0, nat = 11, ntyp = 3
/
ATOMIC_SPECIES
Sm 150.36 Sm.upf
Bi 208.98 Bi.upf
Pd 106.42 Pd.upf
ATOMIC_POSITIONS angstrom
Sm 0.239 -6.642 2.787
Sm 0.597 -4.728 -3.047
Sm 3.210 -5.777 4.780
Sm 1.402 -5.512 7.993
Sm -1.211 -4.464 0.166
Bi 0.138 -4.219 5.053
Pd -2.248 -0.707 0.656
Bi 1.861 -6.022 -0.108
Sm 1.760 -3.598 2.158
Sm 3.197 -8.298 2.019
Sm -1.197 -1.943 2.927
CELL_PARAMETERS angstrom
-4.497 -1.413 1.312
0.743 -6.110 -4.033
5.753 -2.718 7.666

***

! Sr2SmBi3Pd4 | Alexandria via LeMat-Bulk | PBE | optimized geometry; values from VASP
! - Formation energy: -0.67 eV per atom
! - Space-group type: P-4m2 (115)
! - Spin magnetization: 0.0 μB/cell
&SYSTEM
  ibrav = 0, nat = 10, ntyp = 4
/
ATOMIC_SPECIES
Pd 106.42 Pd.upf
Sr 87.62 Sr.upf
Sm 150.36 Sm.upf
Bi 208.98 Bi.upf
ATOMIC_POSITIONS angstrom
Pd 2.365 2.365 0.000
Sr 2.365 0.000 2.591
Sm 2.365 2.365 5.921
Bi 0.000 0.000 5.921
Pd 0.000 2.365 4.224
Bi 0.000 2.365 1.491
Bi 2.365 0.000 10.351
Pd 0.000 0.000 0.000
Sr 0.000 2.365 9.250
Pd 2.365 0.000 7.618
CELL_PARAMETERS angstrom
4.730 0.000 0.000
0.000 4.730 0.000
0.000 0.000 11.842

***

! Sn2Bi3Pd4 | Alexandria via LeMat-Bulk | PBE | optimized geometry; values from VASP
! - Formation energy: -0.28 eV per atom
! - Space-group type: C2/m (12)
! - Spin magnetization: 0.0 μB/cell
&SYSTEM
  ibrav = 0, nat = 9, ntyp = 3
/
ATOMIC_SPECIES
Pd 106.42 Pd.upf
Sn 118.71 Sn.upf
Bi 208.98 Bi.upf
ATOMIC_POSITIONS angstrom
Pd 2.175 1.941 0.995
Sn 2.175 0.277 7.120
Bi 0.000 2.864 5.540
Pd 0.000 1.525 8.124
Bi 0.000 0.000 0.000
Pd 0.000 -0.091 5.541
Pd 2.175 3.557 3.578
Sn 0.000 3.189 1.999
Bi 2.175 0.602 3.579
CELL_PARAMETERS angstrom
4.350 0.000 0.000
-2.175 5.306 0.299
0.000 -1.840 8.820

***

! Sn3BiPd12 | Alexandria via LeMat-Bulk | PBE | optimized geometry; values from VASP
! - Formation energy: -0.44 eV per atom
! - Space-group type: P4/mmm (123)
! - Spin magnetization: 0.0 μB/cell
&SYSTEM
  ibrav = 0, nat = 16, ntyp = 3
/
ATOMIC_SPECIES
Pd 106.42 Pd.upf
Sn 118.71 Sn.upf
Bi 208.98 Bi.upf
ATOMIC_POSITIONS angstrom
Pd -1.743 -1.339 1.854
Sn 4.409 6.758 9.023
Pd 2.679 5.438 10.902
Pd 3.834 3.997 8.718
Pd 0.918 -0.471 2.752
Sn 1.506 2.308 3.082
Sn 2.957 4.533 6.052
Pd -1.115 1.503 2.266
Pd 3.254 8.199 11.207
Pd 2.372 1.757 5.726
Pd 1.215 3.195 7.906
Pd 1.801 5.971 8.232
Bi 0.000 0.000 0.000
Pd -0.249 0.951 4.911
Pd 0.339 3.731 5.241
Pd 5.287 6.225 11.692
CELL_PARAMETERS angstrom
-3.775 0.636 1.369
0.290 -3.313 2.339
5.915 9.066 12.105

***

! SnBiPd2 | Alexandria via LeMat-Bulk | PBE | optimized geometry; values from VASP
! - Formation energy: -0.41 eV per atom
! - Space-group type: Pbcm (57)
! - Spin magnetization: 0.0 μB/cell
&SYSTEM
  ibrav = 0, nat = 16, ntyp = 3
/
ATOMIC_SPECIES
Bi 208.98 Bi.upf
Pd 106.42 Pd.upf
Sn 118.71 Sn.upf
ATOMIC_POSITIONS angstrom
Bi 1.429 6.774 7.271
Pd 0.001 1.849 3.235
Pd 2.856 5.547 1.177
Pd 5.712 5.547 5.070
Pd 5.711 5.547 1.176
Pd 0.001 1.849 7.128
Bi 4.284 4.320 7.271
Pd 2.856 1.849 3.234
Pd 2.857 1.849 7.128
Sn 4.284 4.236 3.121
Bi 4.284 0.622 1.034
Bi 1.428 3.076 1.034
Sn 4.284 0.538 5.183
Pd 2.856 5.546 5.070
Sn 1.428 3.160 5.184
Sn 1.428 6.858 3.122
CELL_PARAMETERS angstrom
5.711 0.000 -0.001
0.000 7.396 0.000
0.001 0.000 8.306

***

! Sn2Bi2Pd3 | Alexandria via LeMat-Bulk | PBE | optimized geometry; values from VASP
! - Formation energy: -0.32 eV per atom
! - Space-group type: P-1 (2)
! - Spin magnetization: 0.0 μB/cell
&SYSTEM
  ibrav = 0, nat = 7, ntyp = 3
/
ATOMIC_SPECIES
Sn 118.71 Sn.upf
Pd 106.42 Pd.upf
Bi 208.98 Bi.upf
ATOMIC_POSITIONS angstrom
Sn -0.136 4.008 0.444
Pd 1.538 1.581 4.883
Pd 1.613 3.310 2.461
Bi -0.785 4.097 3.944
Bi 3.936 0.794 3.400
Pd 0.000 0.000 0.000
Sn 3.287 0.883 6.901
CELL_PARAMETERS angstrom
4.211 -0.162 0.742
-2.153 5.780 -0.126
1.094 -0.727 6.728

***

! SnBiPd2 | Alexandria via LeMat-Bulk | PBE | optimized geometry; values from VASP
! - Formation energy: -0.33 eV per atom
! - Space-group type: P4/mmm (123)
! - Spin magnetization: 0.0 μB/cell
&SYSTEM
  ibrav = 0, nat = 4, ntyp = 3
/
ATOMIC_SPECIES
Bi 208.98 Bi.upf
Pd 106.42 Pd.upf
Sn 118.71 Sn.upf
ATOMIC_POSITIONS angstrom
Bi 1.695 1.695 3.551
Pd 0.000 0.000 5.589
Pd 0.000 0.000 1.514
Sn 1.695 1.695 0.000
CELL_PARAMETERS angstrom
3.391 0.000 0.000
0.000 3.391 0.000
0.000 0.000 7.103

***

! SnBiPd3 | Alexandria via LeMat-Bulk | PBE | optimized geometry; values from VASP
! - Formation energy: -0.34 eV per atom
! - Space-group type: Pnnm (58)
! - Spin magnetization: 0.0 μB/cell
&SYSTEM
  ibrav = 0, nat = 20, ntyp = 3
/
ATOMIC_SPECIES
Pd 106.42 Pd.upf
Bi 208.98 Bi.upf
Sn 118.71 Sn.upf
ATOMIC_POSITIONS angstrom
Pd 4.296 1.168 2.071
Bi 5.568 3.139 3.544
Pd 2.706 6.725 5.016
Pd 0.000 7.893 5.116
Pd 3.501 3.947 1.573
Bi 4.935 7.085 0.000
Pd 6.207 5.115 1.473
Bi 2.067 0.808 0.000
Sn 1.918 1.228 3.544
Pd 7.002 0.000 1.971
Sn 1.582 5.174 7.087
Pd 3.501 3.947 5.514
Sn 5.083 6.665 3.544
Pd 6.207 5.115 5.614
Pd 2.706 6.725 2.071
Pd 4.296 1.168 5.016
Sn 5.419 2.719 0.000
Pd 0.795 2.778 1.473
Bi 1.434 4.754 3.543
Pd 0.795 2.778 5.614
CELL_PARAMETERS angstrom
7.002 0.000 0.000
0.000 7.893 0.000
0.000 0.000 7.087

***

! SnBiPd3 | Alexandria via LeMat-Bulk | PBE | optimized geometry; values from VASP
! - Formation energy: 0.42 eV per atom
! - Space-group type: Pm-3m (221)
! - Spin magnetization: 0.0 μB/cell
&SYSTEM
  ibrav = 0, nat = 5, ntyp = 3
/
ATOMIC_SPECIES
Pd 106.42 Pd.upf
Bi 208.98 Bi.upf
Sn 118.71 Sn.upf
ATOMIC_POSITIONS angstrom
Pd -1.882 -0.484 1.632
Pd -0.603 2.464 0.035
Bi 0.000 0.000 0.000
Pd -1.592 -0.362 -1.943
Sn -4.076 1.619 -0.276
CELL_PARAMETERS angstrom
-1.206 4.929 0.070
-3.183 -0.724 -3.885
-3.764 -0.967 3.264